This record from Alexandria via LeMat-Bulk describes Hf3ZrV after structural relaxation. The functional is PBE-GGA.

Cell: 4.873 4.873 4.873 Å, 90.00 90.00 90.00°
Positions (direct):
Hf (0.000, 0.000, 0.500)
Hf (0.000, 0.500, 0.000)
Hf (0.500, 0.000, 0.000)
Zr (0.500, 0.500, 0.500)
V (0.000, 0.000, 0.000)

* SG: Pm-3m
* polymorph energy (0 for the lowest one): 0.0 meV/atom
* VASP energy: -0.65122 Ry per atom